Computed, not measured: crystalline ZnGa2SnTe at its relaxed geometry at the PBE level of DFT.

Calculated values
* crystal system: tetragonal
* raw total energy: -2.4038 eV/atom
* formation energy without anion corrections: 47.3 kJ/mol of atoms
* magnetic moment: 0.00 μB/atom
* N(E_F): 0.382 states/eV per atom

a b c (Å): 5.464 5.464 5.798
angles (deg): 90.00 90.00 90.00
Space group P4/mmm (No. 123)
Inequivalent atoms, fractional coordinates:
Zn 0.000 0.000 0.000 x1
Ga 0.000 0.500 0.500 x2
Sn 0.500 0.500 0.500 x1
Te 0.500 0.500 0.000 x1